1.
First-principles (GGA-PBE) data for an optimized crystal structure of AcTeAu, as listed in the Open Quantum Materials Database.

- Calculated volume: 389.2 Å³ per cell
- Density: 9.41 g/cm3
- Uncorrected energy: -4.453 eV/atom

Lattice parameters (Å, degrees): 7.3011 7.3011 7.3011 90.00 90.00 90.00
Fractional coordinates of all 12 atoms:
Ac: 0.0000 0.0000 0.0000
Ac: 0.0000 0.5000 0.5000
Ac: 0.5000 0.0000 0.5000
Ac: 0.5000 0.5000 0.0000
Te: 0.0000 0.0000 0.5000
Te: 0.0000 0.5000 0.0000
Te: 0.5000 0.0000 0.0000
Te: 0.5000 0.5000 0.5000
Au: 0.2500 0.2500 0.2500
Au: 0.2500 0.7500 0.7500
Au: 0.7500 0.2500 0.7500
Au: 0.7500 0.7500 0.2500


2.
First-principles (GGA-PBE) data for an optimized crystal structure of Dy2Tl, as listed in the Open Quantum Materials Database.

- Calculated volume: 177.4 Å³ per cell
- Density: 9.91 g/cm3
- Uncorrected energy: -3.644 eV/atom

Lattice parameters (Å, degrees): 6.3071 6.3071 6.3071 60.00 60.00 60.00
Fractional coordinates of all 6 atoms:
Dy: 0.0000 0.0000 0.0000
Dy: 0.0000 0.0000 0.5000
Dy: 0.0000 0.5000 0.0000
Dy: 0.5000 0.0000 0.0000
Tl: 0.3750 0.3750 0.3750
Tl: 0.6250 0.6250 0.6250


3.
First-principles (GGA-PBE) data for an optimized crystal structure of NaZrTcMo, as listed in the Open Quantum Materials Database.

- Calculated volume: 286.3 Å³ per cell
- Density: 7.15 g/cm3
- Uncorrected energy: -6.889 eV/atom

Lattice parameters (Å, degrees): 6.5910 6.5910 6.5910 90.00 90.00 90.00
Fractional coordinates of all 16 atoms:
Na: 0.0000 0.0000 0.0000
Na: 0.0000 0.5000 0.5000
Na: 0.5000 0.0000 0.5000
Na: 0.5000 0.5000 0.0000
Zr: 0.0000 0.0000 0.5000
Zr: 0.0000 0.5000 0.0000
Zr: 0.5000 0.0000 0.0000
Zr: 0.5000 0.5000 0.5000
Tc: 0.2500 0.2500 0.2500
Tc: 0.2500 0.7500 0.7500
Tc: 0.7500 0.2500 0.7500
Tc: 0.7500 0.7500 0.2500
Mo: 0.2500 0.2500 0.7500
Mo: 0.2500 0.7500 0.2500
Mo: 0.7500 0.2500 0.2500
Mo: 0.7500 0.7500 0.7500


4.
First-principles (GGA-PBE) data for an optimized crystal structure of TaNiHgSb, as listed in the Open Quantum Materials Database.

- Calculated volume: 292.5 Å³ per cell
- Density: 12.76 g/cm3
- Uncorrected energy: -5.033 eV/atom

Lattice parameters (Å, degrees): 6.6379 6.6379 6.6379 90.00 90.00 90.00
Fractional coordinates of all 16 atoms:
Ta: 0.0000 0.0000 0.0000
Ta: 0.0000 0.5000 0.5000
Ta: 0.5000 0.0000 0.5000
Ta: 0.5000 0.5000 0.0000
Ni: 0.0000 0.0000 0.5000
Ni: 0.0000 0.5000 0.0000
Ni: 0.5000 0.0000 0.0000
Ni: 0.5000 0.5000 0.5000
Hg: 0.2500 0.2500 0.7500
Hg: 0.2500 0.7500 0.2500
Hg: 0.7500 0.2500 0.2500
Hg: 0.7500 0.7500 0.7500
Sb: 0.2500 0.2500 0.2500
Sb: 0.2500 0.7500 0.7500
Sb: 0.7500 0.2500 0.7500
Sb: 0.7500 0.7500 0.2500